No. 1
## LaDyCu2S4 (PBE)

Data for an optimized crystal structure of LaDyCu2S4.

abc: 6.5144 6.0694 6.0694
angles: 68.12 57.54 57.54
Last column: nearest neighbours and their distance in Å.
Element x y z (fractional)
La1 0.0000 0.0000 0.0000  8 S 2.98-3.15
Cu1 0.8299 0.6701 0.6701  2 S 2.22
Cu2 0.1701 0.3299 0.3299  2 S 2.22
S1 0.5440 0.4873 0.9157  1 Cu 2.22
S2 0.4560 0.0843 0.5127  1 Cu 2.22
S3 0.9470 0.5127 0.0843  1 Cu 2.22
S4 0.0530 0.9157 0.4873  1 Cu 2.22
Dy1 0.5000 0.5000 0.5000  4 S 2.66

Its volume is 21.206 Å³ per atom. The value obtained for the raw total energy is -5.554 eV per atom. Its symmetry is I222, No. 23. As for the density of states at the Fermi level: 0.69 states/eV per cell.

---

No. 2
## Cs2YGaO4 (PBE)

Data for an optimized crystal structure of Cs2YGaO4.

abc: 5.5783 7.0560 12.0668
angles: 84.76 76.64 66.72
Last column: nearest neighbours and their distance in Å.
Element x y z (fractional)
O1 0.8449 0.8291 0.9181  1 Ga 1.91
O2 0.5130 0.3291 0.5819  1 Ga 1.91
O3 0.3260 0.8291 0.0819  1 Ga 1.91
O4 0.4240 0.6709 0.4181  1 Ga 1.91
O5 0.1579 0.3291 0.4181  1 Ga 1.91
O6 0.2370 0.1709 0.9181  1 Ga 1.91
O7 0.9051 0.6709 0.5819  1 Ga 1.91
O8 0.5921 0.1709 0.0819  1 Ga 1.91
Cs1 0.5702 0.5000 0.8596  6 O 3.38-3.72
Cs2 0.8202 0.0000 0.3596  6 O 3.38-3.72
Cs3 0.9298 0.5000 0.1404  6 O 3.38-3.72
Cs4 0.1798 0.0000 0.6404  6 O 3.38-3.72
Ga1 0.5000 0.0000 0.0000  4 O 1.91
Ga2 0.2500 0.5000 0.5000  4 O 1.91
Y1 0.0000 0.0000 0.0000  4 O 2.15
Y2 0.7500 0.5000 0.5000  4 O 2.15

Its volume is 26.528 Å³ per atom. The value obtained for the raw total energy is -5.841 eV per atom. Its symmetry is Fddd, No. 70. As for the density of states at the Fermi level: 0.00 states/eV per cell.

---

No. 3
## KReN3 (PBE)

Data for an optimized crystal structure of KReN3.

abc: 3.9528 3.9528 3.9528
angles: 90.00 90.00 90.00
Last column: nearest neighbours and their distance in Å.
Element x y z (fractional)
N1 0.0000 0.0000 0.5000  2 Re 1.98
N2 0.5000 0.0000 0.0000  2 Re 1.98
N3 0.0000 0.5000 0.0000  2 Re 1.98
K1 0.5000 0.5000 0.5000  12 N 2.80
Re1 0.0000 0.0000 0.0000  6 N 1.98

Its volume is 12.352 Å³ per atom. The value obtained for the raw total energy is -7.415 eV per atom. Its symmetry is Pm-3m, No. 221. As for the density of states at the Fermi level: 2.32 states/eV per cell.

---

No. 4
## CrTc2Ag (PBE)

Data for an optimized crystal structure of CrTc2Ag.

abc: 3.8030 3.8030 9.3948
angles: 78.32 78.32 90.00
Last column: nearest neighbours and their distance in Å.
Element x y z (fractional)
Cr1 0.5000 0.5000 0.0000  4 Tc 2.55, 4 Ag 2.69
Cr2 0.2500 0.7500 0.5000  4 Tc 2.55, 4 Ag 2.69
Ag1 0.7500 0.2500 0.5000  4 Cr 2.69, 4 Tc 2.71
Ag2 0.0000 0.0000 0.0000  4 Cr 2.69, 4 Tc 2.71
Tc1 0.1819 0.6250 0.2500  2 Tc 2.40, 2 Cr 2.55
Tc2 0.8750 0.8181 0.7500  2 Tc 2.40, 2 Cr 2.55
Tc3 0.3750 0.4319 0.7500  2 Tc 2.40, 2 Cr 2.55
Tc4 0.5681 0.1250 0.2500  2 Tc 2.40, 2 Cr 2.55

Its volume is 16.274 Å³ per atom. For the energy of formation, the calculation gives 990 meV per atom. Its symmetry is I-42d, No. 122. As for the density of states at the Fermi level: 11.06 states/eV per cell.